1.
Computed, not measured: Tm2GaS4 after structural relaxation at the PBE-GGA level of DFT.

Its total magnetic moment is 0.00 Bohr magnetons per cell. The total energy is -5.56 eV/atom. As for the uncorrected formation energy: -1493 meV per atom.

Lattice parameters (Å, degrees): 13.9561 3.8572 6.8255 90.00 117.88 90.00
Space group C2/m (No. 12)
Inequivalent atoms, fractional coordinates:
Tm: 0.2280 0.0000 0.2185 x4
Ga: 0.0000 0.5000 0.5000 x2
S: 0.1223 0.5000 0.9345 x4
S: 0.1367 0.0000 0.4907 x4

2.
Computed, not measured: Tm6GaS8 after structural relaxation at the PBE-GGA level of DFT.

Its total magnetic moment is 0.00 Bohr magnetons per cell. The total energy is -5.99 eV/atom. As for the uncorrected formation energy: -1799 meV per atom.

Lattice parameters (Å, degrees): 10.8698 10.8698 10.8698 90.00 90.00 90.00
Space group Fm-3m (No. 225)
Inequivalent atoms, fractional coordinates:
Tm: 0.0000 0.2500 0.2500 x24
Ga: 0.0000 0.0000 0.0000 x4
S: 0.0000 0.0000 0.2516 x24
S: 0.2500 0.2500 0.2500 x8

3.
Computed, not measured: Tm8GaS6 after structural relaxation at the PBE-GGA level of DFT.

Its total magnetic moment is 0.00 Bohr magnetons per cell. The total energy is -5.69 eV/atom. As for the uncorrected formation energy: -1456 meV per atom.

Lattice parameters (Å, degrees): 10.0221 10.0221 3.8342 90.00 90.00 120.00
Space group P-3 (No. 147)
Inequivalent atoms, fractional coordinates:
Tm: 0.0341 0.3271 0.2483 x6
Tm: 0.3333 0.6667 0.7516 x2
Ga: 0.0000 0.0000 0.0000 x1
S: 0.1347 0.6508 0.2495 x6

4.
Computed, not measured: Tm5Ga2S2 after structural relaxation at the PBE-GGA level of DFT.

Its total magnetic moment is 0.00 Bohr magnetons per cell. The total energy is -5.13 eV/atom. As for the uncorrected formation energy: -1060 meV per atom.

Lattice parameters (Å, degrees): 14.2798 7.3798 7.4497 90.00 90.00 90.00
Space group Cmce (No. 64)
Inequivalent atoms, fractional coordinates:
Tm: 0.0000 0.0000 0.0000 x4
Tm: 0.1437 0.1709 0.3414 x16
Ga: 0.0000 0.1261 0.6240 x8
S: 0.1951 0.0000 0.0000 x8

5.
Computed, not measured: UGaS3 after structural relaxation at the PBE-GGA level of DFT.

Its total magnetic moment is 8.01 Bohr magnetons per cell. The total energy is -6.29 eV/atom. As for the uncorrected formation energy: -953 meV per atom.

Lattice parameters (Å, degrees): 16.0451 3.9589 7.2092 90.00 104.64 90.00
Space group C2/m (No. 12)
Inequivalent atoms, fractional coordinates:
U: 0.2109 0.0000 0.2308 x4
Ga: 0.0185 0.5000 0.6852 x4
S: 0.0414 0.0000 0.2153 x4
S: 0.1531 0.5000 0.9552 x4
S: 0.1900 0.0000 0.5989 x4

6.
Computed, not measured: UGaS6 after structural relaxation at the PBE-GGA level of DFT.

Its total magnetic moment is 0.00 Bohr magnetons per cell. The total energy is -5.12 eV/atom. As for the uncorrected formation energy: -231 meV per atom.

Lattice parameters (Å, degrees): 9.7993 9.7993 9.7993 90.00 90.00 90.00
Space group Fm-3m (No. 225)
Inequivalent atoms, fractional coordinates:
U: 0.0000 0.0000 0.0000 x4
Ga: 0.0000 0.0000 0.5000 x4
S: 0.0000 0.0000 0.2544 x24

7.
Computed, not measured: UGaS2 after structural relaxation at the PBE-GGA level of DFT.

Its total magnetic moment is 7.29 Bohr magnetons per cell. The total energy is -6.47 eV/atom. As for the uncorrected formation energy: -828 meV per atom.

Lattice parameters (Å, degrees): 3.9041 3.9041 25.8849 90.00 90.00 120.00
Space group R-3m (No. 166, hexagonal axes)
Inequivalent atoms, fractional coordinates:
U: 0.0000 0.0000 0.0000 x3
Ga: 0.0000 0.0000 0.5000 x3
S: 0.0000 0.0000 0.3910 x6

8.
Computed, not measured: UGaS2 after structural relaxation at the PBE-GGA level of DFT.

Its total magnetic moment is 9.04 Bohr magnetons per cell. The total energy is -6.52 eV/atom. As for the uncorrected formation energy: -876 meV per atom.

Lattice parameters (Å, degrees): 3.9088 3.9088 22.0567 90.00 90.00 120.00
Space group R3m (No. 160, hexagonal axes)
Inequivalent atoms, fractional coordinates:
U: 0.0000 0.0000 0.0000 x3
Ga: 0.0000 0.0000 0.8288 x3
S: 0.0000 0.0000 0.4054 x3
S: 0.0000 0.0000 0.5963 x3

9.
Computed, not measured: VGaS3 after structural relaxation at the PBE-GGA level of DFT.

Its total magnetic moment is 7.43 Bohr magnetons per cell. The total energy is -5.46 eV/atom. As for the energy above the lowest structure with this stoichiometry: 0.0000 eV/atom. As for the uncorrected formation energy: -558 meV per atom.

Lattice parameters (Å, degrees): 3.5783 20.9195 6.1461 90.00 90.00 90.00
Space group Cmc2_1 (No. 36)
Inequivalent atoms, fractional coordinates:
V: 0.0000 0.1172 0.0000 x4
Ga: 0.0000 0.3094 0.9899 x4
S: 0.0000 0.1271 0.6264 x4
S: 0.0000 0.2133 0.1996 x4
S: 0.0000 0.4386 0.5910 x4

10.
Computed, not measured: V4GaS8 after structural relaxation at the PBE-GGA level of DFT.

Its total magnetic moment is 20.47 Bohr magnetons per cell. The total energy is -6.50 eV/atom. As for the uncorrected formation energy: -918 meV per atom.

Lattice parameters (Å, degrees): 9.7233 9.7233 9.7233 90.00 90.00 90.00
Space group F-43m (No. 216)
Inequivalent atoms, fractional coordinates:
V: 0.1061 0.1061 0.3939 x16
Ga: 0.0000 0.0000 0.0000 x4
S: 0.1289 0.1289 0.6289 x16
S: 0.1366 0.1366 0.1366 x16

11.
Computed, not measured: VGaS2 after structural relaxation at the PBE-GGA level of DFT.

Its total magnetic moment is 0.00 Bohr magnetons per cell. The total energy is -5.72 eV/atom. As for the uncorrected formation energy: -623 meV per atom.

Lattice parameters (Å, degrees): 3.1668 3.1668 24.8915 90.00 90.00 120.00
Space group R-3m (No. 166, hexagonal axes)
Inequivalent atoms, fractional coordinates:
V: 0.0000 0.0000 0.0000 x3
Ga: 0.0000 0.0000 0.5000 x3
S: 0.0000 0.0000 0.3924 x6

12.
Computed, not measured: V2GaS6 after structural relaxation at the PBE-GGA level of DFT.

Its total magnetic moment is 1.23 Bohr magnetons per cell. The total energy is -5.63 eV/atom. As for the uncorrected formation energy: -520 meV per atom.

Lattice parameters (Å, degrees): 5.7144 5.7144 10.2224 90.00 90.00 90.00
Space group P4_2/mnm (No. 136)
Inequivalent atoms, fractional coordinates:
V: 0.0000 0.0000 0.1533 x4
Ga: 0.0000 0.0000 0.5000 x2
S: 0.1994 0.1994 0.3243 x8
S: 0.1998 0.1998 0.0000 x4

What is the formula in the tenth record? V4GaS8

Please write out number 5 again, unchanged.
Computed, not measured: UGaS3 after structural relaxation at the PBE-GGA level of DFT.

Its total magnetic moment is 8.01 Bohr magnetons per cell. The total energy is -6.29 eV/atom. As for the uncorrected formation energy: -953 meV per atom.

Lattice parameters (Å, degrees): 16.0451 3.9589 7.2092 90.00 104.64 90.00
Space group C2/m (No. 12)
Inequivalent atoms, fractional coordinates:
U: 0.2109 0.0000 0.2308 x4
Ga: 0.0185 0.5000 0.6852 x4
S: 0.0414 0.0000 0.2153 x4
S: 0.1531 0.5000 0.9552 x4
S: 0.1900 0.0000 0.5989 x4

Look up the total magnetic moment of the ninth one. 7.43 Bohr magnetons per cell